Entry from Alexandria: Ta2BeAlBi after structural relaxation (PBE).

abc: 4.795 4.795 5.225
angles: 90.00 90.00 90.00
Atoms (fractional coordinates):
1 Ta 0.000 0.500 0.000
2 Ta 0.500 0.000 0.000
3 Be 0.000 0.000 0.500
4 Al 0.500 0.500 0.000
5 Bi 0.500 0.500 0.500

Calculated values
Total magnetic moment   0.00 μB per atom
Volume   120 Å³/cell
VASP energy   -5.256 eV/atom